a | In2Sn2Se | PBE | relaxed

Structure (CIF):
```
data_In2Sn2Se
_symmetry_space_group_name_H-M 'I 4/m m m'
_symmetry_Int_Tables_number 139
_symmetry_space_group_name_Hall '-I 4 2'
_cell_length_a 4.168
_cell_length_b 4.168
_cell_length_c 16.416
_cell_angle_alpha 90.00
_cell_angle_beta 90.00
_cell_angle_gamma 90.00
loop_
_atom_site_label
_atom_site_type_symbol
_atom_site_fract_x
_atom_site_fract_y
_atom_site_fract_z
_atom_site_occupancy
In1 In 0.000 0.000 0.090 1
Sn1 Sn 0.000 0.500 0.250 1
Se1 Se 0.000 0.000 0.500 1
```

Values from the calculation:
M_tot (μB per formula unit): 0.00
DOS at the Fermi energy (states/eV/f.u.): 3.33

b | In2Sn2Se | PBE | relaxed

Structure (CIF):
```
data_In2Sn2Se
_symmetry_space_group_name_H-M 'P 4/m b m'
_symmetry_Int_Tables_number 127
_symmetry_space_group_name_Hall '-P 4 2ab'
_cell_length_a 8.027
_cell_length_b 8.027
_cell_length_c 4.340
_cell_angle_alpha 90.00
_cell_angle_beta 90.00
_cell_angle_gamma 90.00
loop_
_atom_site_label
_atom_site_type_symbol
_atom_site_fract_x
_atom_site_fract_y
_atom_site_fract_z
_atom_site_occupancy
In1 In 0.169 0.331 0.000 1
Sn1 Sn 0.132 0.632 0.500 1
Se1 Se 0.000 0.000 0.000 1
```

Values from the calculation:
M_tot (μB per formula unit): 0.00
DOS at the Fermi energy (states/eV/f.u.): 3.83

c | In2Sn2Se | PBE | relaxed

Structure (CIF):
```
data_In2Sn2Se
_symmetry_space_group_name_H-M 'I 4/m m m'
_symmetry_Int_Tables_number 139
_symmetry_space_group_name_Hall '-I 4 2'
_cell_length_a 4.171
_cell_length_b 4.171
_cell_length_c 16.100
_cell_angle_alpha 90.00
_cell_angle_beta 90.00
_cell_angle_gamma 90.00
loop_
_atom_site_label
_atom_site_type_symbol
_atom_site_fract_x
_atom_site_fract_y
_atom_site_fract_z
_atom_site_occupancy
In1 In 0.000 0.500 0.250 1
Sn1 Sn 0.000 0.000 0.091 1
Se1 Se 0.000 0.000 0.500 1
```

Values from the calculation:
M_tot (μB per formula unit): 0.00
DOS at the Fermi energy (states/eV/f.u.): 3.21

Energies in meV per atom, measured from the most stable structure: a 0; b 13; c 26.